This record from Alexandria describes a geometry-optimized KPuZnO5 structure. The functional is PBE.

DFT total energy   -7.21 eV/atom
Total moment   4.00 Bohr magnetons per cell

```
data_KPuZnO5
_chemical_formula_sum 'K4 Pu4 Zn4 O20'
_cell_length_a 7.4676
_cell_length_b 9.6963
_cell_length_c 8.0928
_cell_angle_alpha 90.00
_cell_angle_beta 117.09
_cell_angle_gamma 90.00
_symmetry_space_group_name_H-M 'C 1 2/c 1'
_symmetry_Int_Tables_number 15
_symmetry_space_group_name_Hall '-C 2yc'
loop_
_atom_site_label
_atom_site_fract_x
_atom_site_fract_y
_atom_site_fract_z
_atom_site_occupancy
K1 0.0000 0.1705 0.2500 1
Pu1 0.0000 0.5000 0.0000 1
Zn1 0.0000 0.1935 0.7500 1
O1 0.0000 0.4419 0.2500 1
O2 0.0843 0.3101 0.5974 1
O3 0.2181 0.0612 0.8976 1
```